No. 1
Compound: NaGaRu2
Source: the Alexandria database
Functional: PBE
Structure: optimized geometry

Cell and atoms, written as extended XYZ:
```
8
Lattice="-2.017 2.017 9.345 2.017 -2.017 9.345 2.017 2.017 -9.345" Properties=species:S:1:pos:R:3 pbc="T T T"
Na 0.000 0.000 0.000
Na 0.000 2.017 4.672
Ga 2.017 0.000 4.672
Ga 0.000 0.000 9.345
Ru 1.008 -0.594 7.009
Ru 1.423 1.008 2.336
Ru 1.008 2.611 -2.336
Ru 0.594 1.008 11.681
```

Values from the calculation:
ΔH_f (0 K), meV/atom: 615
Space group: I-42d (122)
Electronic total energy, eV/cell: -40.87

No. 2
Compound: CoNi2N
Source: the Alexandria database
Functional: PBE
Structure: optimized geometry

Cell and atoms, written as extended XYZ:
```
4
Lattice="1.297 0.749 7.297 -1.297 0.749 7.297 0.000 -1.497 7.297" Properties=species:S:1:pos:R:3 pbc="T T T"
Co 0.000 0.000 0.000
Ni 0.000 0.000 2.416
Ni 0.000 0.000 19.474
N 0.000 0.000 10.945
```

Values from the calculation:
Uncorrected formation energy, eV per atom: 0.59
Space group: R-3m (166)
Electronic total energy, eV/cell: -24.62